An optimized crystal structure of Ir3WO. Source: the Alexandria database, functional PBE+U.

Values from the calculation:
density = 17617 kg/m3
VASP energy = -6.8454 eV/atom
relative energy among the computed polymorphs = 0.0 kJ per mole of atoms
M_tot = 2.029 μB/f.u.

Lattice parameters (Å, degrees): 4.1830 4.1830 4.1830 90.00 90.00 90.00
Last column: nearest neighbours and their distance in Å.
Atoms (fractional coordinates):
O  0.0000  0.0000  0.0000  6 Ir 2.09
Ir  0.0000  0.0000  0.5000  2 O 2.09
Ir  0.5000  0.0000  0.0000  2 O 2.09
Ir  0.0000  0.5000  0.0000  2 O 2.09
W  0.5000  0.5000  0.5000  12 Ir 2.96